1.
5
Lattice="3.702 0.000 0.000 0.000 3.702 0.000 0.000 0.000 4.800" Properties=species:S:1:pos:R:3 comment="CaBeSN2, optimized geometry, DFT GGA-PBE" m_tot_mub_per_atom=0.29 de_polymorph_ev_per_fu=0.00 spacegroup="No. 123" raw_formation_energy_kcal_per_mol_atoms=7.3 pbc="T T T"
Ca 0.000 0.000 0.000
Be 1.851 1.851 2.400
S 1.851 1.851 0.000
N 0.000 1.851 2.400
N 1.851 0.000 2.400

2.
5
Lattice="4.293 0.000 0.000 0.000 4.293 0.000 0.000 0.000 4.370" Properties=species:S:1:pos:R:3 comment="CaScBeN2, optimized geometry, DFT GGA-PBE" m_tot_mub_per_atom=0.00 de_polymorph_ev_per_fu=11.23 spacegroup="No. 123" raw_formation_energy_kcal_per_mol_atoms=30.3 pbc="T T T"
Ca 0.000 0.000 0.000
Sc 2.146 2.146 2.185
Be 0.000 0.000 2.185
N 0.000 2.146 0.000
N 2.146 0.000 0.000

3.
10
Lattice="5.100 0.000 0.000 0.000 4.835 0.000 -0.004 0.000 6.128" Properties=species:S:1:pos:R:3 comment="CaScBeN2, optimized geometry, DFT GGA-PBE" m_tot_mub_per_atom=0.00 de_polymorph_ev_per_fu=0.00 spacegroup="No. 13" raw_formation_energy_kcal_per_mol_atoms=-21.5 pbc="T T T"
Ca -0.001 0.003 1.532
Ca -0.003 4.832 4.596
Sc 2.549 2.418 1.532
Sc 2.547 2.417 4.596
Be 2.550 0.000 0.000
Be 2.548 0.000 3.064
N 1.560 1.203 6.127
N 1.562 3.632 3.063
N 3.534 1.203 3.064
N 3.536 3.632 0.000

4.
9
Lattice="5.938 -1.565 0.000 5.938 1.565 0.000 -2.112 0.000 5.452" Properties=species:S:1:pos:R:3 comment="Ca2Be2SnN4, optimized geometry, DFT GGA-PBE" m_tot_mub_per_atom=0.00 spacegroup="No. 12" raw_formation_energy_kcal_per_mol_atoms=-15.4 pbc="T T T"
Ca 1.459 0.000 0.319
Ca 8.305 0.000 5.133
Be 2.694 0.000 2.781
Be 7.070 0.000 2.670
Sn -1.056 0.000 2.726
N 1.100 0.000 3.634
N 4.022 0.000 3.975
N 5.743 0.000 1.477
N 8.664 0.000 1.817

no.,D(E_F) (states/eV/f.u.)
1,2.73
2,4.64
3,2.39
4,0.00